No. 1
DFT (GGA-PBE) results for crystalline Li2PaMnN4 at its relaxed geometry.

## Properties
DFT total energy ... -119.732 eV for the cell shown
Crystal system ... orthorhombic

```
Li2PaMnN4
1.0
3.273 0.000 0.000
-1.636 5.606 0.000
0.000 0.000 9.463
Mn Li N Pa
2 4 8 2
Direct
0.795 0.590 0.750 Mn
0.205 0.410 0.250 Mn
0.396 0.792 0.959 Li
0.604 0.208 0.459 Li
0.396 0.792 0.541 Li
0.604 0.208 0.041 Li
0.698 0.397 0.619 N
0.698 0.397 0.881 N
0.610 0.219 0.250 N
0.000 0.000 0.000 N
0.390 0.781 0.750 N
0.302 0.603 0.119 N
0.302 0.603 0.381 N
0.000 0.000 0.500 N
0.054 0.108 0.750 Pa
0.946 0.892 0.250 Pa
```



No. 2
DFT (GGA-PBE) results for crystalline LiPa2MnN4 at its relaxed geometry.

## Properties
DFT total energy ... -142.818 eV for the cell shown
Crystal system ... monoclinic

```
LiPa2MnN4
1.0
6.710 0.577 -0.053
0.572 6.710 -0.053
-3.638 -3.640 5.297
N Pa Li Mn
8 4 2 2
Direct
0.717 0.189 0.949 N
0.283 0.811 0.051 N
0.311 0.783 0.551 N
0.689 0.217 0.449 N
0.750 0.740 0.438 N
0.240 0.250 0.938 N
0.250 0.260 0.562 N
0.760 0.750 0.062 N
0.500 0.000 0.000 Pa
0.000 0.000 0.500 Pa
0.500 0.500 0.000 Pa
0.500 0.000 0.500 Pa
0.000 0.500 0.000 Li
0.000 0.500 0.500 Li
0.000 0.000 0.000 Mn
0.500 0.500 0.500 Mn
```



No. 3
DFT (GGA-PBE) results for crystalline LiPa2Mn2N6 at its relaxed geometry.

## Properties
DFT total energy ... -94.851 eV for the cell shown
Crystal system ... trigonal

```
LiPa2Mn2N6
1.0
5.227 0.000 0.000
2.613 4.527 0.000
2.613 1.509 5.714
Pa Mn N Li
2 2 6 1
Direct
0.791 0.791 0.627 Pa
0.209 0.209 0.373 Pa
0.607 0.607 0.179 Mn
0.393 0.393 0.821 Mn
0.225 0.738 0.299 N
0.738 0.738 0.299 N
0.262 0.775 0.701 N
0.738 0.225 0.299 N
0.775 0.262 0.701 N
0.262 0.262 0.701 N
0.000 0.000 0.000 Li
```



No. 4
DFT (GGA-PBE) results for crystalline LiPaMnN3 at its relaxed geometry.

## Properties
DFT total energy ... -101.800 eV for the cell shown
Crystal system ... monoclinic

```
LiPaMnN3
1.0
3.291 0.000 0.000
0.000 5.495 -0.447
0.000 -2.603 7.253
Pa N Mn Li
2 6 2 2
Direct
0.250 0.264 0.243 Pa
0.750 0.736 0.757 Pa
0.750 0.238 0.506 N
0.250 0.762 0.494 N
0.750 0.491 0.185 N
0.250 0.054 0.858 N
0.250 0.509 0.815 N
0.750 0.946 0.142 N
0.750 0.855 0.385 Mn
0.250 0.145 0.615 Mn
0.750 0.320 0.908 Li
0.250 0.680 0.092 Li
```



No. 5
DFT (GGA-PBE) results for crystalline Li2MnPbN at its relaxed geometry.

## Properties
DFT total energy ... -26.346 eV for the cell shown
Crystal system ... tetragonal

```
Li2MnPbN
1.0
4.364 0.000 0.000
0.000 4.364 0.000
0.000 0.000 3.708
N Li Mn Pb
1 2 1 1
Direct
0.000 0.000 0.000 N
0.500 0.000 0.000 Li
0.000 0.500 0.000 Li
0.000 0.000 0.500 Mn
0.500 0.500 0.500 Pb
```



No. 6
DFT (GGA-PBE) results for crystalline LiMn2PdN at its relaxed geometry.

## Properties
DFT total energy ... -34.683 eV for the cell shown
Crystal system ... tetragonal

```
LiMn2PdN
1.0
-2.162 2.301 1.883
-0.850 -2.709 2.335
3.171 1.043 2.365
N Li Pd Mn
1 1 1 2
Direct
0.000 0.000 0.000 N
0.000 0.000 0.500 Li
0.500 0.500 0.500 Pd
0.000 0.500 0.000 Mn
0.500 0.000 0.000 Mn
```



No. 7
DFT (GGA-PBE) results for crystalline LiMnPd2N at its relaxed geometry.

## Properties
DFT total energy ... -30.534 eV for the cell shown
Crystal system ... tetragonal

```
LiMnPd2N
1.0
-3.114 1.712 2.421
2.411 -0.582 3.513
1.482 3.351 -0.463
Pd Li Mn N
2 1 1 1
Direct
0.500 0.000 0.000 Pd
0.000 0.500 0.000 Pd
0.500 0.500 0.500 Li
0.000 0.000 0.500 Mn
0.000 0.000 0.000 N
```



No. 8
DFT (GGA-PBE) results for crystalline LiPmMnN3 at its relaxed geometry.

## Properties
DFT total energy ... -89.720 eV for the cell shown
Crystal system ... monoclinic

```
LiPmMnN3
1.0
-2.443 -0.122 4.255
-4.216 -2.949 -1.271
0.515 -5.820 0.746
N Pm Li Mn
6 2 2 2
Direct
0.479 0.831 0.881 N
0.521 0.169 0.119 N
0.250 0.783 0.434 N
0.750 0.217 0.566 N
0.979 0.712 0.119 N
0.021 0.288 0.881 N
0.750 0.737 0.527 Pm
0.250 0.263 0.473 Pm
0.250 0.562 0.876 Li
0.750 0.438 0.124 Li
0.250 0.965 0.070 Mn
0.750 0.035 0.930 Mn
```



No. 9
DFT (GGA-PBE) results for crystalline LiPrMnN3 at its relaxed geometry.

## Properties
DFT total energy ... -88.621 eV for the cell shown
Crystal system ... orthorhombic

```
LiPrMnN3
1.0
5.259 0.000 0.000
0.000 5.328 0.000
0.000 -2.664 4.923
Mn N Pr Li
2 6 2 2
Direct
0.250 0.065 0.131 Mn
0.750 0.935 0.869 Mn
0.500 0.780 0.000 N
0.000 0.780 0.000 N
0.000 0.220 0.000 N
0.500 0.220 0.000 N
0.750 0.758 0.515 N
0.250 0.242 0.485 N
0.250 0.755 0.509 Pr
0.750 0.245 0.491 Pr
0.750 0.556 0.112 Li
0.250 0.444 0.888 Li
```



No. 10
DFT (GGA-PBE) results for crystalline LiMn2PtN at its relaxed geometry.

## Properties
DFT total energy ... -36.522 eV for the cell shown
Crystal system ... tetragonal

```
LiMn2PtN
1.0
3.863 0.000 0.000
0.000 3.863 0.000
0.000 0.000 3.950
Pt Li Mn N
1 1 2 1
Direct
0.500 0.500 0.500 Pt
0.000 0.000 0.500 Li
0.500 0.000 0.000 Mn
0.000 0.500 0.000 Mn
0.000 0.000 0.000 N
```



No. 11
DFT (GGA-PBE) results for crystalline Li2MnPtN at its relaxed geometry.

## Properties
DFT total energy ... -29.196 eV for the cell shown
Crystal system ... tetragonal

```
Li2MnPtN
1.0
3.943 0.000 0.000
0.000 3.943 0.000
0.000 0.000 3.686
N Mn Li Pt
1 1 2 1
Direct
0.000 0.000 0.000 N
0.000 0.000 0.500 Mn
0.500 0.000 0.000 Li
0.000 0.500 0.000 Li
0.500 0.500 0.500 Pt
```



No. 12
DFT (GGA-PBE) results for crystalline Li3Pu2MnN6 at its relaxed geometry.

## Properties
DFT total energy ... -101.415 eV for the cell shown
Crystal system ... monoclinic

```
Li3Pu2MnN6
1.0
5.768 -0.235 0.130
-3.087 4.879 0.130
-0.773 -1.339 4.975
Li N Pu Mn
3 6 2 1
Direct
0.500 0.500 0.500 Li
0.131 0.869 0.500 Li
0.869 0.131 0.500 Li
0.259 0.259 0.783 N
0.616 0.923 0.790 N
0.741 0.741 0.217 N
0.384 0.077 0.210 N
0.077 0.384 0.210 N
0.923 0.616 0.790 N
0.339 0.661 0.000 Pu
0.661 0.339 0.000 Pu
0.000 0.000 0.000 Mn
```



| no. | DOS(E_F) (states/eV/f.u.) | uncorrected formation energy (eV/atom) |
| --- | --- | --- |
| 1 | 2.972 | -0.5089 |
| 2 | 2.682 | -1.0040 |
| 3 | 6.719 | -0.5140 |
| 4 | 2.479 | -0.8907 |
| 5 | 1.551 | -0.2631 |
| 6 | 7.904 | -0.1823 |
| 7 | 2.113 | -0.1478 |
| 8 | 0.830 | -0.6749 |
| 9 | 1.085 | -0.5786 |
| 10 | 3.234 | -0.3807 |
| 11 | 1.723 | -0.3665 |
| 12 | 11.206 | -0.6574 |